No. 1
! Ta2CdIr GGA-PBE relaxed; values from VASP
! Theoretical density = 15.919 Mg/m³
! Symmetry = No. 139
! Total magnetization = 0.000 μB per cell
! E_tot = -33.3 eV/f.u.
! Formation enthalpy at 0 K = 39 meV/atom
&SYSTEM
  ibrav = 0, nat = 8, ntyp = 3
/
ATOMIC_SPECIES
Ta 180.95 Ta.upf
Cd 112.41 Cd.upf
Ir 192.22 Ir.upf
CELL_PARAMETERS angstrom
4.0618 0.0000 0.0000
0.0000 4.0618 0.0000
0.0000 0.0000 8.4282
ATOMIC_POSITIONS crystal
Ta 0.0000 0.5000 0.2500
Ta 0.0000 0.5000 0.7500
Ta 0.5000 0.0000 0.2500
Ta 0.5000 0.0000 0.7500
Cd 0.0000 0.0000 0.0000
Cd 0.5000 0.5000 0.5000
Ir 0.0000 0.0000 0.5000
Ir 0.5000 0.5000 0.0000

---

No. 2
! Tb2Pr6Tm3In GGA-PBE relaxed; values from VASP
! Theoretical density = 7.592 Mg/m³
! Symmetry = No. 12
! Total magnetization = 0.000 μB per cell
! E_tot = -54.5 eV/f.u.
! Formation enthalpy at 0 K = -33 meV/atom
&SYSTEM
  ibrav = 0, nat = 12, ntyp = 4
/
ATOMIC_SPECIES
Tb 158.93 Tb.upf
Pr 140.91 Pr.upf
Tm 168.93 Tm.upf
In 114.82 In.upf
CELL_PARAMETERS angstrom
3.1067 -5.3916 0.0000
3.1067 5.3916 0.0000
-2.0885 0.0000 11.6537
ATOMIC_POSITIONS crystal
Tb 0.1667 0.8333 0.0000
Tb 0.8333 0.1667 0.0000
Pr 0.0896 0.4168 0.7498
Pr 0.2565 0.2565 0.2510
Pr 0.4168 0.0896 0.7498
Pr 0.5832 0.9104 0.2502
Pr 0.7435 0.7435 0.7490
Pr 0.9104 0.5832 0.2502
Tm 0.0000 0.0000 0.5000
Tm 0.3326 0.6674 0.5000
Tm 0.6674 0.3326 0.5000
In 0.5000 0.5000 0.0000

---

No. 3
! Be2AuBr GGA-PBE relaxed; values from VASP
! Theoretical density = 6.157 Mg/m³
! Symmetry = No. 44
! Total magnetization = 0.000 μB per cell
! E_form (uncorrected) = 0.7 eV/f.u.
! E_tot = -11.8 eV/f.u.
! Energy above the lowest structure with this stoichiometry = 0.3089 eV/atom
&SYSTEM
  ibrav = 0, nat = 8, ntyp = 3
/
ATOMIC_SPECIES
Be 9.01 Be.upf
Au 196.97 Au.upf
Br 79.90 Br.upf
CELL_PARAMETERS angstrom
3.2538 0.0000 0.0000
0.0000 3.2930 0.0000
0.0000 0.0000 14.8464
ATOMIC_POSITIONS crystal
Be 0.0000 0.0000 0.0000
Be 0.0000 0.5000 0.1448
Be 0.5000 0.0000 0.6448
Be 0.5000 0.5000 0.5000
Au 0.0000 0.0000 0.5168
Au 0.5000 0.5000 0.0168
Br 0.0000 0.5000 0.7266
Br 0.5000 0.0000 0.2266

---

Repeat the first record exactly.
! Ta2CdIr GGA-PBE relaxed; values from VASP
! Theoretical density = 15.919 Mg/m³
! Symmetry = No. 139
! Total magnetization = 0.000 μB per cell
! E_tot = -33.3 eV/f.u.
! Formation enthalpy at 0 K = 39 meV/atom
&SYSTEM
  ibrav = 0, nat = 8, ntyp = 3
/
ATOMIC_SPECIES
Ta 180.95 Ta.upf
Cd 112.41 Cd.upf
Ir 192.22 Ir.upf
CELL_PARAMETERS angstrom
4.0618 0.0000 0.0000
0.0000 4.0618 0.0000
0.0000 0.0000 8.4282
ATOMIC_POSITIONS crystal
Ta 0.0000 0.5000 0.2500
Ta 0.0000 0.5000 0.7500
Ta 0.5000 0.0000 0.2500
Ta 0.5000 0.0000 0.7500
Cd 0.0000 0.0000 0.0000
Cd 0.5000 0.5000 0.5000
Ir 0.0000 0.0000 0.5000
Ir 0.5000 0.5000 0.0000

---

Copy entry 1 word for word.
! Ta2CdIr GGA-PBE relaxed; values from VASP
! Theoretical density = 15.919 Mg/m³
! Symmetry = No. 139
! Total magnetization = 0.000 μB per cell
! E_tot = -33.3 eV/f.u.
! Formation enthalpy at 0 K = 39 meV/atom
&SYSTEM
  ibrav = 0, nat = 8, ntyp = 3
/
ATOMIC_SPECIES
Ta 180.95 Ta.upf
Cd 112.41 Cd.upf
Ir 192.22 Ir.upf
CELL_PARAMETERS angstrom
4.0618 0.0000 0.0000
0.0000 4.0618 0.0000
0.0000 0.0000 8.4282
ATOMIC_POSITIONS crystal
Ta 0.0000 0.5000 0.2500
Ta 0.0000 0.5000 0.7500
Ta 0.5000 0.0000 0.2500
Ta 0.5000 0.0000 0.7500
Cd 0.0000 0.0000 0.0000
Cd 0.5000 0.5000 0.5000
Ir 0.0000 0.0000 0.5000
Ir 0.5000 0.5000 0.0000